Below is a relaxed BaAlAu6 crystal, with properties calculated at the PBE level.

The value obtained for the energy is -3.5516 eV/atom. For the excess energy over the best structure of this formula in the dataset, the calculation gives 0.020 eV/atom.

a = 4.392 Å, b = 4.392 Å, c = 9.358 Å
α = 90.00°, β = 90.00°, γ = 90.00°
Fractional positions:
Ba (0.000, 0.000, 0.000)
Al (0.000, 0.000, 0.500)
Au (0.000, 0.500, 0.343)
Au (0.000, 0.500, 0.657)
Au (0.500, 0.000, 0.343)
Au (0.500, 0.000, 0.657)
Au (0.500, 0.500, 0.146)
Au (0.500, 0.500, 0.854)

=====

Below is a relaxed Ba2Al3Au crystal, with properties calculated at the PBE level.

The value obtained for the energy is -3.4003 eV/atom.

a = 9.424 Å, b = 9.099 Å, c = 6.854 Å
α = 70.83°, β = 65.78°, γ = 43.39°
Fractional positions:
Ba (0.243, 0.757, 0.243)
Ba (0.250, 0.250, 0.250)
Ba (0.750, 0.750, 0.750)
Ba (0.757, 0.243, 0.757)
Al (0.166, 0.666, 0.834)
Al (0.332, 0.332, 0.668)
Al (0.334, 0.834, 0.666)
Al (0.666, 0.166, 0.334)
Al (0.668, 0.668, 0.332)
Al (0.834, 0.334, 0.166)
Au (0.167, 0.167, 0.833)
Au (0.833, 0.833, 0.167)

=====

Below is a relaxed BaAl3Au crystal, with properties calculated at the PBE level.

The value obtained for the energy is -3.2980 eV/atom.

a = 5.083 Å, b = 5.083 Å, c = 5.083 Å
α = 90.00°, β = 90.00°, γ = 90.00°
Fractional positions:
Ba (0.000, 0.000, 0.000)
Al (0.000, 0.500, 0.500)
Al (0.500, 0.000, 0.500)
Al (0.500, 0.500, 0.000)
Au (0.500, 0.500, 0.500)

=====

Below is a relaxed BaAl2Au6 crystal, with properties calculated at the PBE level.

The value obtained for the energy is -3.4693 eV/atom.

a = 8.600 Å, b = 8.600 Å, c = 8.600 Å
α = 60.00°, β = 60.00°, γ = 60.00°
Fractional positions:
Ba (0.125, 0.125, 0.125)
Ba (0.875, 0.875, 0.875)
Al (0.000, 0.500, 0.500)
Al (0.500, 0.000, 0.500)
Al (0.500, 0.500, 0.000)
Al (0.500, 0.500, 0.500)
Au (0.144, 0.144, 0.606)
Au (0.144, 0.606, 0.144)
Au (0.144, 0.606, 0.606)
Au (0.394, 0.394, 0.856)
Au (0.394, 0.856, 0.394)
Au (0.394, 0.856, 0.856)
Au (0.606, 0.144, 0.144)
Au (0.606, 0.144, 0.606)
Au (0.606, 0.606, 0.144)
Au (0.856, 0.394, 0.394)
Au (0.856, 0.394, 0.856)
Au (0.856, 0.856, 0.394)

=====

Below is a relaxed Ba12Al3Au5 crystal, with properties calculated at the PBE level.

The value obtained for the energy is -2.7675 eV/atom.

a = 17.155 Å, b = 17.155 Å, c = 17.155 Å
α = 109.47°, β = 109.47°, γ = 109.47°
Fractional positions:
Ba (0.047, 0.220, 0.131)
Ba (0.047, 0.327, 0.916)
Ba (0.084, 0.631, 0.411)
Ba (0.084, 0.953, 0.673)
Ba (0.089, 0.720, 0.673)
Ba (0.089, 0.869, 0.416)
Ba (0.131, 0.047, 0.220)
Ba (0.131, 0.584, 0.911)
Ba (0.173, 0.220, 0.589)
Ba (0.173, 0.453, 0.584)
Ba (0.220, 0.131, 0.047)
Ba (0.220, 0.589, 0.173)
Ba (0.280, 0.327, 0.911)
Ba (0.280, 0.453, 0.369)
Ba (0.327, 0.911, 0.280)
Ba (0.327, 0.916, 0.047)
Ba (0.369, 0.280, 0.453)
Ba (0.369, 0.589, 0.916)
Ba (0.411, 0.084, 0.631)
Ba (0.411, 0.827, 0.780)
Ba (0.416, 0.089, 0.869)
Ba (0.416, 0.827, 0.547)
Ba (0.453, 0.369, 0.280)
Ba (0.453, 0.584, 0.173)
Ba (0.547, 0.416, 0.827)
Ba (0.547, 0.631, 0.720)
Ba (0.584, 0.173, 0.453)
Ba (0.584, 0.911, 0.131)
Ba (0.589, 0.173, 0.220)
Ba (0.589, 0.916, 0.369)
Ba (0.631, 0.411, 0.084)
Ba (0.631, 0.720, 0.547)
Ba (0.673, 0.084, 0.953)
Ba (0.673, 0.089, 0.720)
Ba (0.720, 0.547, 0.631)
Ba (0.720, 0.673, 0.089)
Ba (0.780, 0.411, 0.827)
Ba (0.780, 0.869, 0.953)
Ba (0.827, 0.547, 0.416)
Ba (0.827, 0.780, 0.411)
Ba (0.869, 0.416, 0.089)
Ba (0.869, 0.953, 0.780)
Ba (0.911, 0.131, 0.584)
Ba (0.911, 0.280, 0.327)
Ba (0.916, 0.047, 0.327)
Ba (0.916, 0.369, 0.589)
Ba (0.953, 0.673, 0.084)
Ba (0.953, 0.780, 0.869)
Al (0.125, 0.250, 0.375)
Al (0.125, 0.375, 0.750)
Al (0.250, 0.375, 0.125)
Al (0.250, 0.875, 0.625)
Al (0.375, 0.125, 0.250)
Al (0.375, 0.750, 0.125)
Al (0.625, 0.250, 0.875)
Al (0.625, 0.875, 0.750)
Al (0.750, 0.125, 0.375)
Al (0.750, 0.625, 0.875)
Al (0.875, 0.625, 0.250)
Al (0.875, 0.750, 0.625)
Au (0.000, 0.000, 0.000)
Au (0.000, 0.000, 0.500)
Au (0.000, 0.500, 0.000)
Au (0.000, 0.500, 0.500)
Au (0.125, 0.750, 0.875)
Au (0.125, 0.875, 0.250)
Au (0.250, 0.125, 0.875)
Au (0.250, 0.625, 0.375)
Au (0.375, 0.250, 0.625)
Au (0.375, 0.625, 0.750)
Au (0.500, 0.000, 0.000)
Au (0.500, 0.000, 0.500)
Au (0.500, 0.500, 0.000)
Au (0.500, 0.500, 0.500)
Au (0.625, 0.375, 0.250)
Au (0.625, 0.750, 0.375)
Au (0.750, 0.375, 0.625)
Au (0.750, 0.875, 0.125)
Au (0.875, 0.125, 0.750)
Au (0.875, 0.250, 0.125)

=====

Below is a relaxed BaAl6Au3 crystal, with properties calculated at the PBE level.

The value obtained for the energy is -3.7762 eV/atom.

a = 6.335 Å, b = 6.335 Å, c = 7.063 Å
α = 115.68°, β = 115.68°, γ = 66.76°
Fractional positions:
Ba (0.000, 0.000, 0.000)
Al (0.159, 0.547, 0.457)
Al (0.318, 0.318, 0.779)
Al (0.453, 0.841, 0.543)
Al (0.547, 0.159, 0.457)
Al (0.682, 0.682, 0.221)
Al (0.841, 0.453, 0.543)
Au (0.000, 0.000, 0.500)
Au (0.414, 0.414, 0.190)
Au (0.586, 0.586, 0.810)

=====

Below is a relaxed Ba2AlAu2 crystal, with properties calculated at the PBE level.

The value obtained for the energy is -3.4341 eV/atom. For the excess energy over the best structure of this formula in the dataset, the calculation gives 0.000 eV/atom.

a = 6.913 Å, b = 6.913 Å, c = 12.037 Å
α = 117.84°, β = 117.84°, γ = 38.61°
Fractional positions:
Ba (0.009, 0.009, 0.163)
Ba (0.178, 0.178, 0.606)
Ba (0.822, 0.822, 0.394)
Ba (0.991, 0.991, 0.837)
Al (0.282, 0.282, 0.128)
Al (0.718, 0.718, 0.872)
Au (0.324, 0.324, 0.931)
Au (0.495, 0.495, 0.363)
Au (0.505, 0.505, 0.637)
Au (0.676, 0.676, 0.069)

=====

Below is a relaxed Ba8AlAu2 crystal, with properties calculated at the PBE level.

The value obtained for the energy is -2.5572 eV/atom.

a = 8.993 Å, b = 8.993 Å, c = 7.319 Å
α = 99.37°, β = 99.37°, γ = 111.48°
Fractional positions:
Ba (0.000, 0.000, 0.000)
Ba (0.022, 0.288, 0.605)
Ba (0.153, 0.583, 0.210)
Ba (0.288, 0.022, 0.605)
Ba (0.429, 0.707, 0.828)
Ba (0.583, 0.153, 0.210)
Ba (0.707, 0.429, 0.828)
Ba (0.711, 0.711, 0.398)
Al (0.354, 0.354, 0.000)
Au (0.042, 0.674, 0.702)
Au (0.674, 0.042, 0.702)